1.
# LaTb5Nd2 (PBE, optimized geometry)
data_LaTb5Nd2
_space_group_name_H-M_alt 'P -1'
_space_group_IT_number 2
_space_group_name_Hall '-P 1'
_cell_length_a 8.687
_cell_length_b 11.455
_cell_length_c 11.880
_cell_angle_alpha 96.41
_cell_angle_beta 109.32
_cell_angle_gamma 99.87
loop_
_atom_site_label
_atom_site_type_symbol
_atom_site_fract_x
_atom_site_fract_y
_atom_site_fract_z
_atom_site_occupancy
La1 La 0.019 0.402 0.239 1
La2 La 0.234 0.375 0.737 1
Tb1 Tb 0.020 0.352 0.946 1
Tb2 Tb 0.050 0.159 0.413 1
Tb3 Tb 0.066 0.108 0.134 1
Tb4 Tb 0.118 0.874 0.340 1
Tb5 Tb 0.163 0.646 0.532 1
Tb6 Tb 0.331 0.845 0.820 1
Tb7 Tb 0.337 0.418 0.490 1
Tb8 Tb 0.354 0.662 0.303 1
Tb9 Tb 0.369 0.601 0.011 1
Tb10 Tb 0.425 0.372 0.214 1
Nd1 Nd 0.282 0.144 0.932 1
Nd2 Nd 0.300 0.072 0.641 1
Nd3 Nd 0.325 0.901 0.117 1
Nd4 Nd 0.458 0.138 0.403 1
# - N(E_F): 1.625 states/eV per atom
# - Polymorph energy (0 for the lowest one): 4.21 kJ per mole of atoms
# - E_form: 0.06 eV/atom

---

2.
# La6Tb7Nd16 (PBE, optimized geometry)
data_La6Tb7Nd16
_space_group_name_H-M_alt 'F m -3 m'
_space_group_IT_number 225
_space_group_name_Hall '-F 4 2 3'
_cell_length_a 16.145
_cell_length_b 16.145
_cell_length_c 16.145
_cell_angle_alpha 90.00
_cell_angle_beta 90.00
_cell_angle_gamma 90.00
loop_
_atom_site_label
_atom_site_type_symbol
_atom_site_fract_x
_atom_site_fract_y
_atom_site_fract_z
_atom_site_occupancy
La1 La 0.000 0.000 0.215 1
Tb1 Tb 0.000 0.000 0.500 1
Tb2 Tb 0.000 0.250 0.250 1
Nd1 Nd 0.124 0.124 0.376 1
Nd2 Nd 0.154 0.154 0.154 1
# - N(E_F): 1.747 states/eV per atom
# - E_form: 0.19 eV/atom

---

3.
# LaTbNd6 (PBE, optimized geometry)
data_LaTbNd6
_space_group_name_H-M_alt 'P 4/m m m'
_space_group_IT_number 123
_space_group_name_Hall '-P 4 2'
_cell_length_a 5.195
_cell_length_b 5.195
_cell_length_c 10.405
_cell_angle_alpha 90.00
_cell_angle_beta 90.00
_cell_angle_gamma 90.00
loop_
_atom_site_label
_atom_site_type_symbol
_atom_site_fract_x
_atom_site_fract_y
_atom_site_fract_z
_atom_site_occupancy
La1 La 0.000 0.000 0.000 1
Tb1 Tb 0.000 0.000 0.500 1
Nd1 Nd 0.000 0.500 0.253 1
Nd2 Nd 0.500 0.500 0.000 1
Nd3 Nd 0.500 0.500 0.500 1
# - N(E_F): 1.698 states/eV per atom
# - E_form: 0.02 eV/atom

---

4.
# La3Tb6Nd (PBE, optimized geometry)
data_La3Tb6Nd
_space_group_name_H-M_alt 'R 3'
_space_group_IT_number 146
_space_group_name_Hall 'R 3'
_cell_length_a 10.0212
_cell_length_b 10.0212
_cell_length_c 11.7041
_cell_angle_alpha 90.00
_cell_angle_beta 90.00
_cell_angle_gamma 120.00
loop_
_atom_site_label
_atom_site_type_symbol
_atom_site_fract_x
_atom_site_fract_y
_atom_site_fract_z
_atom_site_occupancy
La1 La 0.0000 0.0000 0.0000 1
La2 La 0.0000 0.0000 0.2485 1
La3 La 0.0000 0.0000 0.7513 1
Tb1 Tb 0.0014 0.3251 0.2503 1
Tb2 Tb 0.0097 0.6680 0.4149 1
Nd1 Nd 0.0000 0.0000 0.5000 1
# - N(E_F): 2.280 states/eV per atom
# - Polymorph energy (0 for the lowest one): 12.58 kJ per mole of atoms
# - E_form: 0.28 eV/atom

---

5.
# LaTb9Nd2 (PBE, optimized geometry)
data_LaTb9Nd2
_space_group_name_H-M_alt 'P 4/m m m'
_space_group_IT_number 123
_space_group_name_Hall '-P 4 2'
_cell_length_a 5.087
_cell_length_b 5.087
_cell_length_c 15.267
_cell_angle_alpha 90.00
_cell_angle_beta 90.00
_cell_angle_gamma 90.00
loop_
_atom_site_label
_atom_site_type_symbol
_atom_site_fract_x
_atom_site_fract_y
_atom_site_fract_z
_atom_site_occupancy
La1 La 0.000 0.000 0.000 1
Tb1 Tb 0.000 0.500 0.168 1
Tb2 Tb 0.000 0.500 0.500 1
Tb3 Tb 0.500 0.500 0.000 1
Tb4 Tb 0.500 0.500 0.334 1
Nd1 Nd 0.000 0.000 0.333 1
# - N(E_F): 1.528 states/eV per atom
# - Polymorph energy (0 for the lowest one): 0.00 kJ per mole of atoms
# - E_form: 0.02 eV/atom

---

6.
# La2Tb7Nd3 (PBE, optimized geometry)
data_La2Tb7Nd3
_space_group_name_H-M_alt 'P 1 2/m 1'
_space_group_IT_number 10
_space_group_name_Hall '-P 2y'
_cell_length_a 5.917
_cell_length_b 3.621
_cell_length_c 19.120
_cell_angle_alpha 90.00
_cell_angle_beta 93.15
_cell_angle_gamma 90.00
loop_
_atom_site_label
_atom_site_type_symbol
_atom_site_fract_x
_atom_site_fract_y
_atom_site_fract_z
_atom_site_occupancy
La1 La 0.210 0.000 0.293 1
Tb1 Tb 0.189 0.500 0.141 1
Tb2 Tb 0.243 0.000 0.462 1
Tb3 Tb 0.310 0.000 0.829 1
Tb4 Tb 0.500 0.500 0.000 1
Nd1 Nd 0.000 0.000 0.000 1
Nd2 Nd 0.278 0.500 0.630 1
# - N(E_F): 1.246 states/eV per atom
# - Polymorph energy (0 for the lowest one): 0.42 kJ per mole of atoms
# - E_form: 0.09 eV/atom

---

7.
# La3TbNd (PBE, optimized geometry)
data_La3TbNd
_space_group_name_H-M_alt 'C m c m'
_space_group_IT_number 63
_space_group_name_Hall '-C 2c 2'
_cell_length_a 6.070
_cell_length_b 9.831
_cell_length_c 12.145
_cell_angle_alpha 90.00
_cell_angle_beta 90.00
_cell_angle_gamma 90.00
loop_
_atom_site_label
_atom_site_type_symbol
_atom_site_fract_x
_atom_site_fract_y
_atom_site_fract_z
_atom_site_occupancy
La1 La 0.000 0.051 0.250 1
La2 La 0.000 0.354 0.100 1
Tb1 Tb 0.000 0.298 0.750 1
Nd1 Nd 0.000 0.000 0.000 1
# - N(E_F): 1.509 states/eV per atom
# - Polymorph energy (0 for the lowest one): 0.00 kJ per mole of atoms
# - E_form: 0.19 eV/atom

---

8.
# La2Tb2Nd (PBE, optimized geometry)
data_La2Tb2Nd
_space_group_name_H-M_alt 'P -1'
_space_group_IT_number 2
_space_group_name_Hall '-P 1'
_cell_length_a 6.436
_cell_length_b 6.952
_cell_length_c 9.473
_cell_angle_alpha 71.40
_cell_angle_beta 89.93
_cell_angle_gamma 62.52
loop_
_atom_site_label
_atom_site_type_symbol
_atom_site_fract_x
_atom_site_fract_y
_atom_site_fract_z
_atom_site_occupancy
La1 La 0.171 0.000 0.250 1
La2 La 0.232 0.204 0.549 1
Tb1 Tb 0.033 0.601 0.148 1
Tb2 Tb 0.368 0.598 0.652 1
Nd1 Nd 0.438 0.796 0.951 1
# - N(E_F): 1.866 states/eV per atom
# - Polymorph energy (0 for the lowest one): 0.00 kJ per mole of atoms
# - E_form: 0.04 eV/atom

---

9.
# La5Tb2Nd (PBE, optimized geometry)
data_La5Tb2Nd
_space_group_name_H-M_alt 'C 1 2/c 1'
_space_group_IT_number 15
_space_group_name_Hall '-C 2yc'
_cell_length_a 17.004
_cell_length_b 10.240
_cell_length_c 6.742
_cell_angle_alpha 90.00
_cell_angle_beta 101.09
_cell_angle_gamma 90.00
loop_
_atom_site_label
_atom_site_type_symbol
_atom_site_fract_x
_atom_site_fract_y
_atom_site_fract_z
_atom_site_occupancy
La1 La 0.000 0.061 0.250 1
La2 La 0.092 0.406 0.153 1
La3 La 0.206 0.085 0.024 1
Tb1 Tb 0.082 0.257 0.647 1
Nd1 Nd 0.250 0.250 0.500 1
# - N(E_F): 1.742 states/eV per atom
# - Polymorph energy (0 for the lowest one): 11.28 kJ per mole of atoms
# - E_form: 0.13 eV/atom

---

10.
# La3TbNd7 (PBE, optimized geometry)
data_La3TbNd7
_space_group_name_H-M_alt 'I m m m'
_space_group_IT_number 71
_space_group_name_Hall '-I 2 2'
_cell_length_a 6.026
_cell_length_b 11.475
_cell_length_c 11.577
_cell_angle_alpha 90.00
_cell_angle_beta 90.00
_cell_angle_gamma 90.00
loop_
_atom_site_label
_atom_site_type_symbol
_atom_site_fract_x
_atom_site_fract_y
_atom_site_fract_z
_atom_site_occupancy
La1 La 0.000 0.000 0.000 1
La2 La 0.000 0.288 0.500 1
Tb1 Tb 0.000 0.500 0.000 1
Nd1 Nd 0.000 0.000 0.500 1
Nd2 Nd 0.000 0.204 0.199 1
Nd3 Nd 0.000 0.500 0.291 1
# - N(E_F): 1.535 states/eV per atom
# - Polymorph energy (0 for the lowest one): 1.09 kJ per mole of atoms
# - E_form: 0.22 eV/atom

---

11.
# LaTb4Nd (PBE, optimized geometry)
data_LaTb4Nd
_space_group_name_H-M_alt 'F -4 3 m'
_space_group_IT_number 216
_space_group_name_Hall 'F -4 2 3'
_cell_length_a 9.450
_cell_length_b 9.450
_cell_length_c 9.450
_cell_angle_alpha 90.00
_cell_angle_beta 90.00
_cell_angle_gamma 90.00
loop_
_atom_site_label
_atom_site_type_symbol
_atom_site_fract_x
_atom_site_fract_y
_atom_site_fract_z
_atom_site_occupancy
La1 La 0.000 0.000 0.000 1
Tb1 Tb 0.124 0.124 0.376 1
Nd1 Nd 0.250 0.250 0.750 1
# - N(E_F): 2.434 states/eV per atom
# - Polymorph energy (0 for the lowest one): 24.10 kJ per mole of atoms
# - E_form: 0.27 eV/atom

---

12.
# La2TbNd (PBE, optimized geometry)
data_La2TbNd
_space_group_name_H-M_alt 'F m -3 m'
_space_group_IT_number 225
_space_group_name_Hall '-F 4 2 3'
_cell_length_a 8.301
_cell_length_b 8.301
_cell_length_c 8.301
_cell_angle_alpha 90.00
_cell_angle_beta 90.00
_cell_angle_gamma 90.00
loop_
_atom_site_label
_atom_site_type_symbol
_atom_site_fract_x
_atom_site_fract_y
_atom_site_fract_z
_atom_site_occupancy
La1 La 0.250 0.250 0.250 1
Tb1 Tb 0.000 0.000 0.000 1
Nd1 Nd 0.000 0.000 0.500 1
# - N(E_F): 2.327 states/eV per atom
# - Polymorph energy (0 for the lowest one): 9.57 kJ per mole of atoms
# - E_form: 0.11 eV/atom